Compound: AlCrSiSe2
Source: the Alexandria database
Functional: PBE
Structure: relaxed

The structure in CIF format:
```
data_AlCrSiSe2
_chemical_formula_sum 'Al1 Cr1 Si1 Se2'
_cell_length_a 5.002
_cell_length_b 5.002
_cell_length_c 4.718
_cell_angle_alpha 90.00
_cell_angle_beta 90.00
_cell_angle_gamma 90.00
_symmetry_space_group_name_H-M 'P 4/m m m'
_symmetry_Int_Tables_number 123
_symmetry_space_group_name_Hall '-P 4 2'
loop_
_atom_site_label
_atom_site_type_symbol
_atom_site_fract_x
_atom_site_fract_y
_atom_site_fract_z
Al1 Al 0.000 0.000 0.000
Cr1 Cr 0.500 0.500 0.000
Si1 Si 0.500 0.500 0.500
Se1 Se 0.000 0.500 0.500
```

Summary:
Fermi-level density of states: 2.8 states/eV/f.u.

Compound: AlTl3Cr2Se6
Source: the Alexandria database
Functional: PBE
Structure: relaxed

The structure in CIF format:
```
data_AlTl3Cr2Se6
_chemical_formula_sum 'Al2 Tl6 Cr4 Se12'
_cell_length_a 6.606
_cell_length_b 11.445
_cell_length_c 7.936
_cell_angle_alpha 90.00
_cell_angle_beta 106.15
_cell_angle_gamma 90.00
_symmetry_space_group_name_H-M 'C 1 2/m 1'
_symmetry_Int_Tables_number 12
_symmetry_space_group_name_Hall '-C 2y'
loop_
_atom_site_label
_atom_site_type_symbol
_atom_site_fract_x
_atom_site_fract_y
_atom_site_fract_z
Al1 Al 0.000 0.000 0.000
Tl1 Tl 0.000 0.166 0.500
Tl2 Tl 0.000 0.500 0.500
Cr1 Cr 0.000 0.333 0.000
Se1 Se 0.225 0.500 0.177
Se2 Se 0.226 0.167 0.178
```

Summary:
Fermi-level density of states: 1.1 states/eV/f.u.

Compound: AlCrSi2
Source: the Alexandria database
Functional: PBE
Structure: relaxed

The structure in CIF format:
```
data_AlCrSi2
_chemical_formula_sum 'Al1 Cr1 Si2'
_cell_length_a 3.859
_cell_length_b 3.859
_cell_length_c 3.658
_cell_angle_alpha 90.00
_cell_angle_beta 90.00
_cell_angle_gamma 90.00
_symmetry_space_group_name_H-M 'P 4/m m m'
_symmetry_Int_Tables_number 123
_symmetry_space_group_name_Hall '-P 4 2'
loop_
_atom_site_label
_atom_site_type_symbol
_atom_site_fract_x
_atom_site_fract_y
_atom_site_fract_z
Al1 Al 0.000 0.000 0.000
Cr1 Cr 0.500 0.500 0.000
Si1 Si 0.000 0.500 0.500
```

Summary:
Fermi-level density of states: 2.7 states/eV/f.u.

Compound: AlCrSi2
Source: the Alexandria database
Functional: PBE
Structure: relaxed

The structure in CIF format:
```
data_AlCrSi2
_chemical_formula_sum 'Al2 Cr2 Si4'
_cell_length_a 5.208
_cell_length_b 7.425
_cell_length_c 2.807
_cell_angle_alpha 90.00
_cell_angle_beta 90.00
_cell_angle_gamma 90.00
_symmetry_space_group_name_H-M 'C m m m'
_symmetry_Int_Tables_number 65
_symmetry_space_group_name_Hall '-C 2 2'
loop_
_atom_site_label
_atom_site_type_symbol
_atom_site_fract_x
_atom_site_fract_y
_atom_site_fract_z
Al1 Al 0.000 0.000 0.000
Cr1 Cr 0.000 0.500 0.000
Si1 Si 0.250 0.250 0.500
```

Summary:
Fermi-level density of states: 1.6 states/eV/f.u.

Compound: Al2CrSi
Source: the Alexandria database
Functional: PBE
Structure: relaxed

The structure in CIF format:
```
data_Al2CrSi
_chemical_formula_sum 'Al2 Cr1 Si1'
_cell_length_a 2.695
_cell_length_b 2.695
_cell_length_c 7.804
_cell_angle_alpha 90.00
_cell_angle_beta 90.00
_cell_angle_gamma 90.00
_symmetry_space_group_name_H-M 'P 4/m m m'
_symmetry_Int_Tables_number 123
_symmetry_space_group_name_Hall '-P 4 2'
loop_
_atom_site_label
_atom_site_type_symbol
_atom_site_fract_x
_atom_site_fract_y
_atom_site_fract_z
Al1 Al 0.000 0.000 0.235
Cr1 Cr 0.500 0.500 0.000
Si1 Si 0.500 0.500 0.500
```

Summary:
Fermi-level density of states: 3.5 states/eV/f.u.

Compound: Al2CrSi
Source: the Alexandria database
Functional: PBE
Structure: relaxed

The structure in CIF format:
```
data_Al2CrSi
_chemical_formula_sum 'Al4 Cr2 Si2'
_cell_length_a 3.703
_cell_length_b 3.703
_cell_length_c 8.028
_cell_angle_alpha 90.00
_cell_angle_beta 90.00
_cell_angle_gamma 90.00
_symmetry_space_group_name_H-M 'I 4/m m m'
_symmetry_Int_Tables_number 139
_symmetry_space_group_name_Hall '-I 4 2'
loop_
_atom_site_label
_atom_site_type_symbol
_atom_site_fract_x
_atom_site_fract_y
_atom_site_fract_z
Al1 Al 0.000 0.500 0.250
Cr1 Cr 0.000 0.000 0.000
Si1 Si 0.000 0.000 0.500
```

Summary:
Fermi-level density of states: 1.2 states/eV/f.u.

Compound: Al2CrSi
Source: the Alexandria database
Functional: PBE
Structure: relaxed

The structure in CIF format:
```
data_Al2CrSi
_chemical_formula_sum 'Al4 Cr2 Si2'
_cell_length_a 8.828
_cell_length_b 2.827
_cell_length_c 4.609
_cell_angle_alpha 90.00
_cell_angle_beta 98.75
_cell_angle_gamma 90.00
_symmetry_space_group_name_H-M 'C 1 m 1'
_symmetry_Int_Tables_number 8
_symmetry_space_group_name_Hall 'C -2y'
loop_
_atom_site_label
_atom_site_type_symbol
_atom_site_fract_x
_atom_site_fract_y
_atom_site_fract_z
Al1 Al 0.000 0.000 0.000
Al2 Al 0.243 0.000 0.740
Cr1 Cr 0.497 0.000 0.491
Si1 Si 0.262 0.500 0.276
```

Summary:
Fermi-level density of states: 2.1 states/eV/f.u.

Compound: AlCr2Si
Source: the Alexandria database
Functional: PBE
Structure: relaxed

The structure in CIF format:
```
data_AlCr2Si
_chemical_formula_sum 'Al3 Cr6 Si3'
_cell_length_a 2.6607
_cell_length_b 2.6607
_cell_length_c 24.9014
_cell_angle_alpha 90.00
_cell_angle_beta 90.00
_cell_angle_gamma 120.00
_symmetry_space_group_name_H-M 'R -3 m'
_symmetry_Int_Tables_number 166
_symmetry_space_group_name_Hall '-R 3 2"'
loop_
_atom_site_label
_atom_site_type_symbol
_atom_site_fract_x
_atom_site_fract_y
_atom_site_fract_z
Al1 Al 0.0000 0.0000 0.0000
Cr1 Cr 0.0000 0.0000 0.2466
Si1 Si 0.0000 0.0000 0.5000
```

Summary:
Fermi-level density of states: 3.6 states/eV/f.u.

Ordered total magnetic moment results: 0.903; 0.506; 0.598; 0.564; 0.188; 0.420; 0.482; 0.005; unit μB per atom.
Ordered formation energy (no corrections) results: 0.5763; -0.5477; 0.1335; 0.1049; 0.1218; -0.0843; -0.0074; 0.0463; unit eV/atom.
Ordered V results: 23.6; 24.0; 13.6; 13.6; 14.2; 13.8; 14.2; 12.7; unit A^3/atom.